(1)
Below is Ta2WC after structural relaxation, with properties calculated at the PBE level.

Properties
The value obtained for the calculated density is 14.44 g cm⁻³. The calculation puts the total energy at -44.07 eV per cell. The formation energy is 0.454 eV per atom.

Structure (CIF):
```
data_Ta2WC
_cell_length_a 2.894
_cell_length_b 2.894
_cell_length_c 7.656
_cell_angle_alpha 90.00
_cell_angle_beta 90.00
_cell_angle_gamma 90.00
_space_group_name_H-M_alt 'P 1'
_space_group_IT_number 1
loop_
_space_group_symop_operation_xyz
'x,y,z'
loop_
_atom_site_label
_atom_site_type_symbol
_atom_site_fract_x
_atom_site_fract_y
_atom_site_fract_z
W1 W 0.000 0.000 0.498
Ta1 Ta 0.000 0.000 0.859
Ta2 Ta 0.500 0.500 0.206
C1 C 0.500 0.500 0.936
```

(2)
Below is Ta2WC after structural relaxation, with properties calculated at the PBE level.

Properties
The value obtained for the calculated density is 15.61 g cm⁻³. The calculation puts the total energy at -41.96 eV per cell. The formation energy is 0.981 eV per atom.

Structure (CIF):
```
data_Ta2WC
_cell_length_a 3.252
_cell_length_b 4.407
_cell_length_c 5.457
_cell_angle_alpha 49.35
_cell_angle_beta 90.00
_cell_angle_gamma 90.00
_space_group_name_H-M_alt 'P 1'
_space_group_IT_number 1
loop_
_space_group_symop_operation_xyz
'x,y,z'
loop_
_atom_site_label
_atom_site_type_symbol
_atom_site_fract_x
_atom_site_fract_y
_atom_site_fract_z
Ta1 Ta 0.500 0.500 0.000
Ta2 Ta 0.000 0.000 0.000
W1 W 0.500 0.500 0.500
C1 C 0.000 0.000 0.500
```